Record 1
Computed, not measured: crystalline ThUMo at its relaxed geometry at the PBE level of DFT.

Geometry as CIF:
```
data_ThUMo
_chemical_formula_sum 'Th2 U2 Mo2'
_space_group_name_H-M_alt 'P 1'
_space_group_IT_number 1
_space_group_name_Hall 'P 1'
_cell_length_a 3.4958
_cell_length_b 3.4958
_cell_length_c 12.2463
_cell_angle_alpha 98.21
_cell_angle_beta 98.21
_cell_angle_gamma 90.00
loop_
_atom_site_label
_atom_site_type_symbol
_atom_site_fract_x
_atom_site_fract_y
_atom_site_fract_z
Mo1 Mo 0.2901 0.2901 0.5802
Mo2 Mo 0.7099 0.7099 0.4198
U1 U 0.1611 0.1611 0.3222
U2 U 0.8389 0.8389 0.6778
Th1 Th 0.5745 0.5745 0.1490
Th2 Th 0.4255 0.4255 0.8510
```

Space-group type: No. 139
Formation enthalpy at 0 K, eV per atom: 0.429
Crystal system: tetragonal


Record 2
Computed, not measured: crystalline Ga2PtRh2 at its relaxed geometry at the PBE level of DFT.

Geometry as CIF:
```
data_Ga2PtRh2
_chemical_formula_sum 'Ga2 Pt1 Rh2'
_space_group_name_H-M_alt 'P 1'
_space_group_IT_number 1
_space_group_name_Hall 'P 1'
_cell_length_a 4.1917
_cell_length_b 4.1917
_cell_length_c 5.1709
_cell_angle_alpha 90.00
_cell_angle_beta 90.00
_cell_angle_gamma 120.00
loop_
_atom_site_label
_atom_site_type_symbol
_atom_site_fract_x
_atom_site_fract_y
_atom_site_fract_z
Ga1 Ga 0.3333 0.6667 0.1962
Ga2 Ga 0.6667 0.3333 0.8038
Pt1 Pt 0.0000 0.0000 0.0000
Rh1 Rh 0.3333 0.6667 0.6758
Rh2 Rh 0.6667 0.3333 0.3242
```

Space-group type: No. 164
Formation enthalpy at 0 K, eV per atom: -0.493
Crystal system: trigonal
ΔE to the lowest computed polymorph, eV per atom: 0.000


Record 3
Computed, not measured: crystalline SmTlH8Ir2 at its relaxed geometry at the PBE level of DFT.

Geometry as CIF:
```
data_SmTlH8Ir2
_chemical_formula_sum 'Sm1 Tl1 H8 Ir2'
_space_group_name_H-M_alt 'P 1'
_space_group_IT_number 1
_space_group_name_Hall 'P 1'
_cell_length_a 4.8376
_cell_length_b 5.1867
_cell_length_c 6.5258
_cell_angle_alpha 58.28
_cell_angle_beta 68.24
_cell_angle_gamma 62.20
loop_
_atom_site_label
_atom_site_type_symbol
_atom_site_fract_x
_atom_site_fract_y
_atom_site_fract_z
Sm1 Sm 0.5000 0.5000 0.5000
Tl1 Tl 0.0000 0.0000 0.0000
H1 H 0.9149 0.5774 0.5928
H2 H 0.5850 0.7718 0.0583
H3 H 0.0851 0.4226 0.4072
H4 H 0.4150 0.2282 0.9417
H5 H 0.5245 0.0759 0.3201
H6 H 0.4755 0.9241 0.6799
H7 H 0.0796 0.0759 0.3201
H8 H 0.9204 0.9241 0.6799
Ir1 Ir 0.2433 0.3532 0.1603
Ir2 Ir 0.7567 0.6468 0.8397
```

Energy, eV per atom: -4.418
Space-group type: No. 12
Crystal system: monoclinic


Record 4
Computed, not measured: crystalline Cs2HgHO at its relaxed geometry at the PBE level of DFT.

Geometry as CIF:
```
data_Cs2HgHO
_chemical_formula_sum 'Cs4 Hg2 H2 O2'
_space_group_name_H-M_alt 'P 1'
_space_group_IT_number 1
_space_group_name_Hall 'P 1'
_cell_length_a 4.4293
_cell_length_b 8.1712
_cell_length_c 10.9180
_cell_angle_alpha 109.46
_cell_angle_beta 90.00
_cell_angle_gamma 90.00
loop_
_atom_site_label
_atom_site_type_symbol
_atom_site_fract_x
_atom_site_fract_y
_atom_site_fract_z
Cs1 Cs 0.7500 0.8115 0.6385
Cs2 Cs 0.7500 0.7967 0.0285
Cs3 Cs 0.2500 0.1885 0.3615
Cs4 Cs 0.2500 0.2033 0.9715
Hg1 Hg 0.2500 0.6605 0.3028
Hg2 Hg 0.7500 0.3395 0.6972
H1 H 0.2500 0.7072 0.8048
H2 H 0.7500 0.2928 0.1952
O1 O 0.2500 0.8341 0.8423
O2 O 0.7500 0.1659 0.1577
```

Energy, eV per atom: -2.891
Space-group type: No. 11
Crystal system: monoclinic


Number 1: V 146.58 Å³/cell. Number 2: V 78.68 Å³/cell. Number 3: V 121.48 Å³/cell. Number 4: V 372.58 Å³/cell.